# 1
DFT (PBE) results for a relaxed La2Pm7In2 crystal.

a = 9.3850 Å, b = 9.3850 Å, c = 9.3850 Å
α = 147.23°, β = 66.22°, γ = 124.22°
Closest atoms and distances in Å follow each position.
Fractional positions:
La1 0.0000 0.0000 0.0000  10 Pm 3.53-3.81, 2 La 3.79
La2 0.6910 0.1910 0.5000  7 Pm 3.32-3.65, 2 In 3.55
Pm1 0.1197 0.2821 0.8376  3 In 3.28-3.36, 3 Pm 3.54-3.63, 1 La 3.56
Pm2 0.1491 0.5007 0.6484  3 La 3.53-3.58, 7 Pm 3.53-3.69, 2 In 3.59
Pm3 0.3128 0.8128 0.5000  1 La 3.32, 2 In 3.48, 6 Pm 3.60-3.69
Pm4 0.4445 0.2821 0.1624  3 In 3.28-3.36, 3 Pm 3.54-3.63, 1 La 3.56
Pm5 0.5495 0.7088 0.8407  3 In 3.31-3.37, 3 Pm 3.53-3.69, 3 La 3.58-3.65
Pm6 0.8523 0.5007 0.3516  3 La 3.53-3.58, 7 Pm 3.53-3.69, 2 In 3.59
Pm7 0.8681 0.7088 0.1593  3 In 3.31-3.37, 3 Pm 3.53-3.69, 3 La 3.58-3.65
In1 0.2968 0.9938 0.3029  9 Pm 3.28-3.59, 1 La 3.55
In2 0.6909 0.9938 0.6971  9 Pm 3.28-3.59, 1 La 3.55

Computed properties:
**ΔH_f (0 K)**: -0.114 eV/atom
**SG**: No. 44

# 2
DFT (PBE) results for a relaxed Dy4Y5Ho crystal.

a = 7.8837 Å, b = 7.8837 Å, c = 7.8837 Å
α = 99.09°, β = 99.09°, γ = 133.17°
Closest atoms and distances in Å follow each position.
Fractional positions:
Dy1 0.0481 0.3489 0.3970  4 Y 3.22-3.51, 1 Dy 3.24
Dy2 0.3489 0.9519 0.3008  4 Y 3.22-3.51, 1 Dy 3.24
Dy3 0.6511 0.0481 0.6992  4 Y 3.22-3.51, 1 Dy 3.24
Dy4 0.9519 0.6511 0.6030  4 Y 3.22-3.51, 1 Dy 3.24
Y1 0.2279 0.2279 0.0000  1 Ho 2.88
Y2 0.2691 0.6494 0.9150  4 Dy 3.22-3.51, 1 Ho 3.28, 1 Y 3.30
Y3 0.3540 0.2691 0.6197  4 Dy 3.22-3.51, 1 Ho 3.28, 1 Y 3.30
Y4 0.6494 0.7343 0.3803  4 Dy 3.22-3.51, 1 Ho 3.28, 1 Y 3.30
Y5 0.7343 0.3540 0.0850  4 Dy 3.22-3.51, 1 Ho 3.28, 1 Y 3.30
Ho1 0.7680 0.7680 0.0000  1 Y 2.88

Computed properties:
**ΔH_f (0 K)**: 0.308 eV/atom
**SG**: No. 79

# 3
DFT (PBE) results for a relaxed TaMo crystal.

a = 5.3853 Å, b = 5.3853 Å, c = 6.4505 Å
α = 107.60°, β = 107.60°, γ = 34.80°
Closest atoms and distances in Å follow each position.
Fractional positions:
Ta1 0.0000 0.0000 0.0000  6 Mo 2.77-2.83, 2 Ta 2.87
Ta2 0.0007 0.0007 0.5070  6 Mo 2.80-2.82, 2 Ta 2.87
Ta3 0.6769 0.6769 0.3416  4 Mo 2.76-2.77, 4 Ta 2.87
Mo1 0.3342 0.3342 0.6736  6 Ta 2.76-2.80, 2 Mo 2.76
Mo2 0.3351 0.3351 0.1674  2 Mo 2.75, 6 Ta 2.77-2.82
Mo3 0.6738 0.6738 0.8407  4 Mo 2.75-2.76, 4 Ta 2.82-2.83

Computed properties:
**ΔH_f (0 K)**: -0.171 eV/atom
**SG**: No. 8

# 4
DFT (PBE) results for a relaxed Mg5Si6 crystal.

a = 5.3988 Å, b = 5.6980 Å, c = 13.7633 Å
α = 84.70°, β = 80.66°, γ = 84.57°
Closest atoms and distances in Å follow each position.
Fractional positions:
Mg1 0.0000 0.0000 0.0000  7 Si 2.70-2.99
Mg2 0.0020 0.8459 0.4267  6 Si 2.76-2.98
Mg3 0.0213 0.2299 0.5932  4 Si 2.76-3.02, 1 Mg 3.06
Mg4 0.3311 0.6201 0.8485  7 Si 2.76-2.95
Mg5 0.4942 0.8634 0.1650  6 Si 2.73-2.95
Mg6 0.5108 0.3824 0.0499  5 Si 2.73-2.97
Mg7 0.5401 0.3264 0.4722  7 Si 2.72-2.98
Mg8 0.8024 0.2345 0.8128  6 Si 2.73-3.03
Mg9 0.9549 0.7118 0.6885  4 Si 2.80-2.90, 1 Mg 3.12
Mg10 0.9727 0.1748 0.2102  7 Si 2.76-3.09
Si1 0.0146 0.4724 0.0300  2 Si 2.41-2.43
Si2 0.0311 0.7090 0.1646  2 Si 2.38-2.41
Si3 0.0649 0.3540 0.3932  2 Si 2.45-2.46
Si4 0.3079 0.1406 0.8136  2 Si 2.41-2.53
Si5 0.3691 0.8188 0.5459  3 Si 2.44-2.48
Si6 0.4386 0.2876 0.2678  3 Si 2.46-2.55
Si7 0.5148 0.4884 0.6589  2 Si 2.48-2.52
Si8 0.5176 0.9594 0.9571  2 Si 2.37-2.53
Si9 0.5245 0.9164 0.3715  3 Si 2.39-2.49
Si10 0.5525 0.0442 0.6576  3 Si 2.41-2.52
Si11 0.7459 0.5706 0.3035  4 Si 2.38-2.55
Si12 0.8129 0.6559 0.8933  2 Si 2.37-2.43

Computed properties:
**SG**: No. 1
**Offset from the most stable computed form**: 49.2 meV/atom
**Energy relative to the elements, uncorrected**: 0.074 eV/atom

# 5
DFT (PBE) results for a relaxed BaOsF2 crystal.

a = 4.8064 Å, b = 4.8064 Å, c = 4.8064 Å
α = 60.00°, β = 60.00°, γ = 60.00°
Closest atoms and distances in Å follow each position.
Fractional positions:
Ba1 0.0000 0.0000 0.0000  8 F 2.94
Os1 0.5000 0.5000 0.5000  8 F 2.94
F1 0.2500 0.2500 0.2500  4 Ba 2.94, 4 Os 2.94
F2 0.7500 0.7500 0.7500  4 Ba 2.94, 4 Os 2.94

Computed properties:
**SG**: No. 225
**Offset from the most stable computed form**: 131.5 meV/atom
**Energy relative to the elements, uncorrected**: -0.758 eV/atom

# 6
DFT (PBE) results for a relaxed Na6Hg10Pt crystal.

a = 9.0600 Å, b = 9.0600 Å, c = 6.1279 Å
α = 90.00°, β = 90.00°, γ = 120.00°
Closest atoms and distances in Å follow each position.
Fractional positions:
Na1 0.0000 0.3883 0.2545  9 Hg 3.09-3.41
Na2 0.0000 0.6117 0.7455  9 Hg 3.09-3.41
Na3 0.3883 0.0000 0.2545  9 Hg 3.09-3.41
Na4 0.3883 0.3883 0.7455  9 Hg 3.09-3.41
Na5 0.6117 0.0000 0.7455  9 Hg 3.09-3.41
Na6 0.6117 0.6117 0.2545  9 Hg 3.09-3.41
Hg1 0.0000 0.2504 0.7714  1 Pt 2.81, 2 Na 3.09
Hg2 0.0000 0.7496 0.2286  1 Pt 2.81, 2 Na 3.09
Hg3 0.2504 0.0000 0.7714  1 Pt 2.81, 2 Na 3.09
Hg4 0.2504 0.2504 0.2286  1 Pt 2.81, 2 Na 3.09
Hg5 0.3333 0.6667 0.0000  2 Hg 3.06, 6 Na 3.21
Hg6 0.3333 0.6667 0.5000  2 Hg 3.06, 6 Na 3.18
Hg7 0.6667 0.3333 0.0000  2 Hg 3.06, 6 Na 3.21
Hg8 0.6667 0.3333 0.5000  2 Hg 3.06, 6 Na 3.18
Hg9 0.7496 0.0000 0.2286  1 Pt 2.81, 2 Na 3.09
Hg10 0.7496 0.7496 0.7714  1 Pt 2.81, 2 Na 3.09
Pt1 0.0000 0.0000 0.5000  6 Hg 2.81

Computed properties:
**ΔH_f (0 K)**: -0.181 eV/atom
**SG**: No. 162

Question: What is the formula in the second record?
Answer: Dy4Y5Ho